Entry from Alexandria: crystalline NaIn5Bi4 at its relaxed geometry (PBE-GGA).

## Properties
**Electronic total energy**: -0.111 Ha/atom
**Formation energy from the elements**: 0.3 eV per formula unit
**Density**: 7.42 Mg/m³

Cell: 4.7825 8.8021 8.9239 Å, 63.27 89.77 74.62°
With the nearest neighbours (Å) after each atom.
Atoms (fractional coordinates):
Na (0.0000, 0.0000, 0.0000)  6 Bi 3.23-3.32, 4 In 3.59-3.60
In (0.0000, 0.0000, 0.5000)  6 Bi 3.22-3.61, 2 In 3.54
In (0.3128, 0.3523, 0.3881)  5 In 3.29-3.64, 3 Bi 3.39-3.65
In (0.3294, 0.3501, 0.7832)  3 In 3.29-3.52, 4 Bi 3.34-3.46, 2 Na 3.59-3.60
In (0.6706, 0.6499, 0.2168)  3 In 3.29-3.52, 4 Bi 3.34-3.46, 2 Na 3.59-3.60
In (0.6872, 0.6477, 0.6119)  5 In 3.29-3.64, 3 Bi 3.39-3.65
Bi (0.1708, 0.6562, 0.9347)  1 Na 3.23, 4 Bi 3.33-3.38, 4 In 3.44-3.61
Bi (0.4808, 0.0305, 0.2421)  5 In 3.22-3.53, 2 Na 3.30-3.32, 2 Bi 3.37
Bi (0.5192, 0.9695, 0.7579)  5 In 3.22-3.53, 2 Na 3.30-3.32, 2 Bi 3.37
Bi (0.8292, 0.3438, 0.0653)  1 Na 3.23, 4 Bi 3.33-3.38, 4 In 3.44-3.61